A plane-wave DFT calculation with PBE was carried out for an optimized crystal structure of CaAc2ThSb4.

formation energy without anion corrections: -1.08 eV/atom

a = 8.0649 Å, b = 4.6843 Å, c = 8.0779 Å
α = 90.00°, β = 109.40°, γ = 90.00°
Last column: nearest neighbours and their distance in Å.
Fractional positions:
Ca1 0.0000 0.0000 0.0000  6 Sb 3.24-3.26
Ac1 0.5000 0.0000 0.5000  6 Sb 3.35-3.36
Ac2 0.5000 0.5000 0.0000  6 Sb 3.39
Th1 0.0000 0.5000 0.5000  6 Sb 3.20-3.22
Sb1 0.2328 0.0000 0.7418  2 Th 3.22, 1 Ca 3.24, 3 Ac 3.35-3.39
Sb2 0.2349 0.5000 0.2498  1 Th 3.20, 2 Ca 3.26, 3 Ac 3.36-3.39
Sb3 0.7651 0.5000 0.7502  1 Th 3.20, 2 Ca 3.26, 3 Ac 3.36-3.39
Sb4 0.7672 0.0000 0.2582  2 Th 3.22, 1 Ca 3.24, 3 Ac 3.35-3.39

A plane-wave DFT calculation with PBE was carried out for an optimized crystal structure of DyY2PuP4.

energy of formation: -1498 meV per atom

a = 6.9264 Å, b = 4.0119 Å, c = 6.9268 Å
α = 90.00°, β = 109.50°, γ = 90.00°
Last column: nearest neighbours and their distance in Å.
Fractional positions:
Dy1 0.0000 0.0000 0.0000  6 P 2.83
Y1 0.5000 0.0000 0.5000  6 P 2.83
Y2 0.5000 0.5000 0.0000  6 P 2.85
Pu1 0.0000 0.5000 0.5000  6 P 2.81
P1 0.2458 0.0000 0.7463  2 Pu 2.81, 1 Dy 2.83, 3 Y 2.83-2.85
P2 0.2477 0.5000 0.2514  1 Pu 2.81, 2 Dy 2.83, 3 Y 2.83-2.85
P3 0.7523 0.5000 0.7486  1 Pu 2.81, 2 Dy 2.83, 3 Y 2.83-2.85
P4 0.7542 0.0000 0.2537  2 Pu 2.81, 1 Dy 2.83, 3 Y 2.83-2.85

A plane-wave DFT calculation with PBE was carried out for an optimized crystal structure of Ba2Sr8Ac.

excess energy over the best structure of this formula in the dataset: 0.00 eV/f.u.
energy of formation: 104 meV per atom

a = 15.3098 Å, b = 15.3098 Å, c = 10.1846 Å
α = 108.89°, β = 108.89°, γ = 15.93°
Last column: nearest neighbours and their distance in Å.
Fractional positions:
Ba1 0.2039 0.2039 0.2901  2 Ba 4.24, 7 Sr 4.27-4.72
Ba2 0.7961 0.7961 0.7099  2 Ba 4.24, 7 Sr 4.27-4.72
Sr1 0.0421 0.0408 0.2081  9 Sr 4.13-4.32, 2 Ac 4.16-4.17
Sr2 0.2001 0.1997 0.8669  8 Sr 3.96-4.24, 3 Ba 4.27-4.32
Sr3 0.3674 0.3662 0.4696  1 Ac 3.95, 6 Sr 3.97-4.24, 2 Ba 4.30
Sr4 0.4116 0.4112 0.0905  9 Sr 4.13-4.49, 1 Ac 4.16
Sr5 0.5888 0.5884 0.9095  9 Sr 4.13-4.49, 1 Ac 4.16
Sr6 0.6338 0.6326 0.5304  1 Ac 3.95, 6 Sr 3.97-4.24, 2 Ba 4.30
Sr7 0.8003 0.7999 0.1331  8 Sr 3.96-4.24, 3 Ba 4.27-4.32
Sr8 0.9592 0.9579 0.7919  9 Sr 4.13-4.32, 2 Ac 4.16-4.17
Ac1 0.5023 0.4977 0.5000  8 Sr 3.95-4.17, 2 Ac 4.24

A plane-wave DFT calculation with PBE was carried out for an optimized crystal structure of Ba2ReSb.

formation energy without anion corrections: 0.60 eV/atom

a = 3.5743 Å, b = 4.6505 Å, c = 7.8494 Å
α = 90.00°, β = 90.00°, γ = 90.00°
Last column: nearest neighbours and their distance in Å.
Fractional positions:
Ba1 0.0000 0.0000 0.2393  4 Re 3.48, 3 Ba 3.57-3.76, 4 Sb 3.58
Ba2 0.0000 0.0000 0.7607  4 Re 3.48, 3 Ba 3.57-3.76, 4 Sb 3.58
Re1 0.5000 0.5000 0.0000  8 Ba 3.48, 2 Re 3.57
Sb1 0.5000 0.5000 0.5000  2 Sb 3.57, 8 Ba 3.58, 2 Re 3.92

A plane-wave DFT calculation with PBE was carried out for an optimized crystal structure of Al2VSnI.

formation energy without anion corrections: 0.82 eV/atom

a = 5.4141 Å, b = 5.4141 Å, c = 5.4100 Å
α = 90.00°, β = 90.00°, γ = 90.00°
Last column: nearest neighbours and their distance in Å.
Fractional positions:
Al1 0.0000 0.5000 0.0000  2 Sn 2.71
Al2 0.5000 0.0000 0.0000  2 Sn 2.71
V1 0.0000 0.0000 0.5000  2 Sn 2.71
Sn1 0.0000 0.0000 0.0000  2 V 2.71, 4 Al 2.71
I1 0.5000 0.5000 0.5000  8 Al 3.83, 4 V 3.83

A plane-wave DFT calculation with PBE was carried out for an optimized crystal structure of SmNpPt2.

excess energy over the best structure of this formula in the dataset: 0.00 eV/f.u.
energy of formation: -735 meV per atom

a = 7.0016 Å, b = 7.0016 Å, c = 7.0016 Å
α = 34.41°, β = 34.41°, γ = 34.41°
Last column: nearest neighbours and their distance in Å.
Fractional positions:
Sm1 0.0000 0.0000 0.0000  6 Pt 2.98
Np1 0.5000 0.5000 0.5000  6 Pt 2.83
Pt1 0.2434 0.2434 0.2434  3 Np 2.83, 3 Sm 2.98
Pt2 0.7566 0.7566 0.7566  3 Np 2.83, 3 Sm 2.98

A plane-wave DFT calculation with PBE was carried out for an optimized crystal structure of ScSiMo2.

formation energy without anion corrections: 0.28 eV/atom

a = 5.8602 Å, b = 5.8602 Å, c = 5.8602 Å
α = 101.29°, β = 101.29°, γ = 127.47°
Last column: nearest neighbours and their distance in Å.
Fractional positions:
Sc1 0.0000 0.0000 0.0000  2 Si 2.59
Sc2 0.7500 0.2500 0.5000  2 Si 2.59
Si1 0.2500 0.7500 0.5000  4 Mo 2.42, 2 Sc 2.59
Si2 0.5000 0.5000 0.0000  4 Mo 2.42, 2 Sc 2.59
Mo1 0.1855 0.1250 0.5605  2 Si 2.42
Mo2 0.3750 0.8145 0.9395  2 Si 2.42
Mo3 0.5645 0.6250 0.4395  2 Si 2.42
Mo4 0.8750 0.4355 0.0605  2 Si 2.42

A plane-wave DFT calculation with PBE was carried out for an optimized crystal structure of RuWI2N.

formation energy without anion corrections: 1.31 eV/atom
excess energy over the best structure of this formula in the dataset: 1.08 eV/f.u.

a = 5.5085 Å, b = 5.5085 Å, c = 3.6644 Å
α = 90.00°, β = 90.00°, γ = 90.00°
Last column: nearest neighbours and their distance in Å.
Fractional positions:
Ru1 0.0000 0.0000 0.0000  2 N 1.83
W1 0.5000 0.5000 0.5000  8 I 3.31, 2 W 3.66
I1 0.0000 0.5000 0.0000  2 Ru 2.75
I2 0.5000 0.0000 0.0000  2 Ru 2.75
N1 0.0000 0.0000 0.5000  2 Ru 1.83

A plane-wave DFT calculation with PBE was carried out for an optimized crystal structure of Ni12MoPt6.

energy of formation: 58 meV per atom

a = 6.3341 Å, b = 6.3341 Å, c = 6.3341 Å
α = 92.73°, β = 92.73°, γ = 92.73°
Last column: nearest neighbours and their distance in Å.
Fractional positions:
Ni1 0.0402 0.2821 0.9572  3 Ni 2.38-2.49, 3 Pt 2.52-2.60
Ni2 0.0428 0.9598 0.7179  3 Ni 2.38-2.49, 3 Pt 2.52-2.60
Ni3 0.1285 0.3543 0.4438  4 Ni 2.38-2.61, 1 Mo 2.49, 1 Pt 2.57
Ni4 0.2821 0.9572 0.0402  3 Ni 2.38-2.49, 3 Pt 2.52-2.60
Ni5 0.3543 0.4438 0.1285  4 Ni 2.38-2.61, 1 Mo 2.49, 1 Pt 2.57
Ni6 0.4438 0.1285 0.3543  4 Ni 2.38-2.61, 1 Mo 2.49, 1 Pt 2.57
Ni7 0.5562 0.8715 0.6457  4 Ni 2.38-2.61, 1 Mo 2.49, 1 Pt 2.57
Ni8 0.6457 0.5562 0.8715  4 Ni 2.38-2.61, 1 Mo 2.49, 1 Pt 2.57
Ni9 0.7179 0.0428 0.9598  3 Ni 2.38-2.49, 3 Pt 2.52-2.60
Ni10 0.8715 0.6457 0.5562  4 Ni 2.38-2.61, 1 Mo 2.49, 1 Pt 2.57
Ni11 0.9572 0.0402 0.2821  3 Ni 2.38-2.49, 3 Pt 2.52-2.60
Ni12 0.9598 0.7179 0.0428  3 Ni 2.38-2.49, 3 Pt 2.52-2.60
Mo1 0.5000 0.5000 0.5000  6 Ni 2.49, 6 Pt 2.64
Pt1 0.2121 0.7634 0.3790  9 Ni 2.52-2.73, 1 Mo 2.64, 2 Pt 2.78
Pt2 0.2366 0.6210 0.7879  9 Ni 2.52-2.73, 1 Mo 2.64, 2 Pt 2.78
Pt3 0.3790 0.2121 0.7634  9 Ni 2.52-2.73, 1 Mo 2.64, 2 Pt 2.78
Pt4 0.6210 0.7879 0.2366  9 Ni 2.52-2.73, 1 Mo 2.64, 2 Pt 2.78
Pt5 0.7634 0.3790 0.2121  9 Ni 2.52-2.73, 1 Mo 2.64, 2 Pt 2.78
Pt6 0.7879 0.2366 0.6210  9 Ni 2.52-2.73, 1 Mo 2.64, 2 Pt 2.78

A plane-wave DFT calculation with PBE was carried out for an optimized crystal structure of GdLu2Pa.

excess energy over the best structure of this formula in the dataset: 0.00 eV/f.u.
energy of formation: 116 meV per atom

a = 3.4030 Å, b = 3.4030 Å, c = 9.9444 Å
α = 90.00°, β = 90.00°, γ = 90.00°
Last column: nearest neighbours and their distance in Å.
Fractional positions:
Gd1 0.0000 0.0000 0.0000  4 Gd 3.40, 8 Lu 3.59
Lu1 0.5000 0.5000 0.2683  4 Pa 3.33, 4 Lu 3.40, 4 Gd 3.59
Lu2 0.5000 0.5000 0.7317  4 Pa 3.33, 4 Lu 3.40, 4 Gd 3.59
Pa1 0.0000 0.0000 0.5000  8 Lu 3.33, 4 Pa 3.40

A plane-wave DFT calculation with PBE was carried out for an optimized crystal structure of YRe2.

energy of formation: 1000 meV per atom

a = 7.4061 Å, b = 7.4061 Å, c = 4.2702 Å
α = 90.00°, β = 90.00°, γ = 120.00°
Last column: nearest neighbours and their distance in Å.
Fractional positions:
Y1 0.0000 0.0000 0.0000  9 Re 2.78-3.05
Y2 0.3333 0.6667 0.5000  9 Re 2.87-3.09
Y3 0.6667 0.3333 0.5000  9 Re 2.87-3.09
Re1 0.0000 0.2410 0.5000  2 Re 2.48
Re2 0.0000 0.4117 0.0000  2 Re 2.48
Re3 0.2410 0.0000 0.5000  2 Re 2.48
Re4 0.4117 0.0000 0.0000  2 Re 2.48
Re5 0.5883 0.5883 0.0000  2 Re 2.48
Re6 0.7590 0.7590 0.5000  2 Re 2.48

A plane-wave DFT calculation with PBE was carried out for an optimized crystal structure of Hf6Bi3Se.

formation energy without anion corrections: -0.11 eV/atom

a = 8.9366 Å, b = 8.9366 Å, c = 6.4476 Å
α = 90.00°, β = 90.00°, γ = 105.19°
Last column: nearest neighbours and their distance in Å.
Fractional positions:
Hf1 0.0305 0.9695 0.5000  1 Se 2.53
Hf2 0.0630 0.5879 0.5664  1 Se 2.71, 2 Bi 2.98-3.01, 1 Hf 3.02
Hf3 0.2443 0.7557 0.1385  1 Se 2.60
Hf4 0.2789 0.4292 0.0927  4 Bi 2.99-3.05, 3 Hf 3.02-3.17
Hf5 0.4121 0.9370 0.5664  1 Se 2.71, 2 Bi 2.98-3.01, 1 Hf 3.02
Hf6 0.4292 0.2789 0.5927  4 Bi 2.99-3.05, 3 Hf 3.02-3.17
Hf7 0.5708 0.7211 0.0927  4 Bi 2.99-3.05, 3 Hf 3.02-3.17
Hf8 0.5879 0.0630 0.0664  1 Se 2.71, 2 Bi 2.98-3.01, 1 Hf 3.02
Hf9 0.7211 0.5708 0.5927  4 Bi 2.99-3.05, 3 Hf 3.02-3.17
Hf10 0.7557 0.2443 0.6385  1 Se 2.60
Hf11 0.9370 0.4121 0.0664  1 Se 2.71, 2 Bi 2.98-3.01, 1 Hf 3.02
Hf12 0.9695 0.0305 0.0000  1 Se 2.53
Bi1 0.1071 0.2866 0.7132  7 Hf 2.95-3.11
Bi2 0.2866 0.1071 0.2132  7 Hf 2.95-3.11
Bi3 0.3983 0.6017 0.4870  7 Hf 3.01-3.13
Bi4 0.6017 0.3983 0.9870  7 Hf 3.01-3.13
Bi5 0.7134 0.8929 0.7132  7 Hf 2.95-3.11
Bi6 0.8929 0.7134 0.2132  7 Hf 2.95-3.11
Se1 0.1487 0.8513 0.7939  4 Hf 2.53-2.71
Se2 0.8513 0.1487 0.2939  4 Hf 2.53-2.71

Number 1: density of states at the Fermi level 0.15 states/eV per atom. Number 2: density of states at the Fermi level 1.45 states/eV per atom. Number 3: density of states at the Fermi level 1.39 states/eV per atom. Number 4: density of states at the Fermi level 1.16 states/eV per atom. Number 5: density of states at the Fermi level 1.14 states/eV per atom. Number 6: density of states at the Fermi level 2.68 states/eV per atom. Number 7: density of states at the Fermi level 1.15 states/eV per atom. Number 8: density of states at the Fermi level 0.67 states/eV per atom. Number 9: density of states at the Fermi level 1.68 states/eV per atom. Number 10: density of states at the Fermi level 1.98 states/eV per atom. Number 11: density of states at the Fermi level 0.96 states/eV per atom. Number 12: density of states at the Fermi level 0.61 states/eV per atom.